{
  "formula": "CaAl2P",
  "functional": "PBE",
  "state": "optimized geometry",
  "n_ef_per_ev_atom": 0.34,
  "magmom_total_mub_per_fu": 0.00,
  "space_group": "Immm",
  "e_form_mev_per_atom": -317,
  "lattice_angstrom": [[5.845, 0.008, -0.005], [3.059, 4.981, 0.005], [-4.051, -3.210, 2.730]],
  "species": ["P", "Ca", "Al", "Al"],
  "frac_coords": [[0.750, 0.250, 0.500], [0.250, 0.750, 0.500], [0.954, 0.954, 0.000], [0.546, 0.546, 0.000]]
}